A plane-wave DFT calculation with PBE-GGA was carried out for a relaxed CaPu4Ir4 crystal.

Cell lengths 8.996, 8.996, 5.519 Å; angles 90.00, 90.00, 90.00 degrees
Fractional coordinates of all 18 atoms:
1 Ca 0.250 0.250 0.250
2 Ca 0.750 0.750 0.750
3 Pu 0.075 0.650 0.179
4 Pu 0.150 0.925 0.679
5 Pu 0.350 0.575 0.679
6 Pu 0.425 0.850 0.179
7 Pu 0.575 0.150 0.821
8 Pu 0.650 0.425 0.321
9 Pu 0.850 0.075 0.321
10 Pu 0.925 0.350 0.821
11 Ir 0.051 0.616 0.674
12 Ir 0.116 0.949 0.174
13 Ir 0.384 0.551 0.174
14 Ir 0.449 0.884 0.674
15 Ir 0.551 0.116 0.326
16 Ir 0.616 0.449 0.826
17 Ir 0.884 0.051 0.826
18 Ir 0.949 0.384 0.326

Properties
Total magnetic moment = 2.1401 μB per atom
Density = 13.271 Mg/m³
Symmetry = P4_2/n (86)
E = -195.787 eV per cell